# 1
ZnHgBr2: optimized geometry, PBE.

Summary:
E_form (uncorrected) (kJ/mol of formula units): -236.9
Calculated density (g/cm3): 4.6
E above lowest polymorph (eV per atom): 0.013
Space-group type: P1

a = 6.5332 Å, b = 6.5389 Å, c = 8.2804 Å
α = 89.41°, β = 89.53°, γ = 60.45°
Last column: nearest neighbours and their distance in Å.
Element x y z (fractional)
Br  0.3707  0.6855  0.1660  2 Zn 2.47
Br  0.6600  0.0686  0.3898  2 Zn 2.40-2.49
Br  0.9840  0.3936  0.3873  2 Zn 2.40-2.50
Br  0.3692  0.6802  0.6116  2 Zn 2.47
Hg  0.0551  0.3232  0.8867  3 Hg 3.68-3.85
Hg  0.7329  0.9941  0.8894  3 Hg 3.68-3.85
Zn  0.3072  0.4695  0.3887  4 Br 2.40-2.49
Zn  0.5825  0.7467  0.3887  4 Br 2.40-2.50

---

# 2
PrTiAs3: optimized geometry, PBE.

Summary:
Calculated formation energy (meV/atom): -935
Calculated density (g/cm3): 6.4
Space-group type: Pbcm

a = 5.8650 Å, b = 5.7785 Å, c = 12.7302 Å
α = 90.00°, β = 90.00°, γ = 90.00°
Last column: nearest neighbours and their distance in Å.
Element x y z (fractional)
Pr  0.2500  0.0083  0.6849  9 As 3.13-3.19
Pr  0.7500  0.4917  0.6849  9 As 3.13-3.19
Pr  0.7500  0.9917  0.3151  9 As 3.13-3.19
Pr  0.2500  0.5083  0.3151  9 As 3.13-3.19
As  0.7500  0.4907  0.2163  2 Ti 2.64, 1 As 2.92
As  0.2500  0.6122  0.0739  4 Ti 2.56-2.60
As  0.5000  0.2500  0.4978  4 As 2.89-2.93, 4 Pr 3.13
As  0.0000  0.2500  0.4978  4 As 2.89-2.93, 4 Pr 3.13
As  0.2500  0.0093  0.2163  2 Ti 2.64, 1 As 2.92
As  0.2500  0.5093  0.7837  2 Ti 2.64, 1 As 2.92
As  0.2500  0.1122  0.9261  4 Ti 2.56-2.60
As  0.7500  0.9907  0.7837  2 Ti 2.64, 1 As 2.92
As  0.7500  0.3878  0.9261  4 Ti 2.56-2.60
As  0.7500  0.8878  0.0739  4 Ti 2.56-2.60
As  0.5000  0.7500  0.5022  4 As 2.89-2.93, 4 Pr 3.13
As  0.0000  0.7500  0.5022  4 As 2.89-2.93, 4 Pr 3.13
Ti  0.0000  0.7500  0.9176  6 As 2.56-2.64
Ti  0.5000  0.2500  0.0824  6 As 2.56-2.64
Ti  0.5000  0.7500  0.9176  6 As 2.56-2.64
Ti  0.0000  0.2500  0.0824  6 As 2.56-2.64

---

# 3
NaHf2AsO8: optimized geometry, PBE.

Summary:
E_form (uncorrected) (kJ/mol of formula units): -2407.3
Calculated density (g/cm3): 6.7
Space-group type: P2/m

a = 4.7821 Å, b = 4.4694 Å, c = 6.8101 Å
α = 89.99°, β = 90.00°, γ = 89.15°
Last column: nearest neighbours and their distance in Å.
Element x y z (fractional)
O  0.1701  0.7893  0.8031  1 As 1.82
O  0.5531  0.7406  0.5000  2 Hf 2.11, 1 O 2.22
O  0.3068  0.2738  0.0000  1 As 1.92, 2 Hf 2.12
O  0.6932  0.7262  0.0000  1 As 1.92, 2 Hf 2.12
O  0.8299  0.2107  0.1969  1 As 1.82
O  0.1700  0.7892  0.1969  1 As 1.82
O  0.4469  0.2594  0.5000  2 Hf 2.11, 1 O 2.22
O  0.8300  0.2108  0.8031  1 As 1.82
Hf  0.5000  0.5000  0.7639  6 O 2.04-2.12
Hf  0.5000  0.5000  0.2361  6 O 2.04-2.12
As  0.0000  0.0000  0.0000  6 O 1.82-1.92
Na  0.0000  0.0000  0.5000  6 O 2.41-2.45

---

# 4
PaPb6S8: optimized geometry, PBE.

Summary:
E_form (uncorrected) (kJ/mol of formula units): -937.9
Calculated density (g/cm3): 6.5
Space-group type: P-3

a = 5.7791 Å, b = 9.4049 Å, c = 9.4049 Å
α = 120.00°, β = 90.00°, γ = 90.00°
Last column: nearest neighbours and their distance in Å.
Element x y z (fractional)
Pb  0.2830  0.6665  0.6045  3 S 2.77-2.87
Pb  0.7170  0.6045  0.9380  3 S 2.77-2.87
Pb  0.2830  0.3955  0.0620  3 S 2.77-2.87
Pb  0.2830  0.9380  0.3335  3 S 2.77-2.87
Pb  0.7170  0.3335  0.3955  3 S 2.77-2.87
Pb  0.7170  0.0620  0.6665  3 S 2.77-2.87
S  0.7375  0.2538  0.0071  1 Pa 2.72, 2 Pb 2.78-2.87
S  0.2625  0.2466  0.2538  1 Pa 2.72, 2 Pb 2.78-2.87
S  0.2625  0.0071  0.7534  1 Pa 2.72, 2 Pb 2.78-2.87
S  0.4691  0.6667  0.3333  3 Pb 2.77
S  0.7375  0.9929  0.2466  1 Pa 2.72, 2 Pb 2.78-2.87
S  0.2625  0.7462  0.9929  1 Pa 2.72, 2 Pb 2.78-2.87
S  0.7375  0.7534  0.7462  1 Pa 2.72, 2 Pb 2.78-2.87
S  0.5309  0.3333  0.6667  3 Pb 2.77
Pa  0.5000  0.0000  0.0000  6 S 2.72